Compound: Li2Cd3Pd4
Source: the Alexandria database
Functional: PBE
Structure: relaxed

Cell lengths 4.1111, 4.8801, 8.5265 Å; angles 75.22, 89.90, 65.14 degrees
Closest atoms and distances in Å follow each position.
Element x y z (fractional)
Pd1 0.6666 0.6675 0.8922  4 Li 2.71-2.85, 4 Cd 2.79-2.84, 4 Pd 2.88-2.92
Cd1 0.0000 0.0000 0.0000  8 Pd 2.81-2.84, 4 Li 2.86-2.87
Cd2 0.3340 0.3322 0.4352  6 Pd 2.79-2.95, 3 Cd 2.84-2.93, 3 Li 2.91-3.02
Cd3 0.6660 0.6678 0.5648  6 Pd 2.79-2.95, 3 Cd 2.84-2.93, 3 Li 2.91-3.02
Li1 0.6696 0.6620 0.2108  7 Pd 2.71-2.87, 5 Cd 2.86-3.02
Pd2 0.3334 0.3325 0.1078  4 Li 2.71-2.85, 4 Cd 2.79-2.84, 4 Pd 2.88-2.92
Pd3 0.9961 0.0078 0.6690  6 Cd 2.81-2.95, 3 Li 2.85-2.87, 3 Pd 2.90-2.92
Li2 0.3304 0.3380 0.7892  7 Pd 2.71-2.87, 5 Cd 2.86-3.02
Pd4 0.0039 0.9922 0.3310  6 Cd 2.81-2.95, 3 Li 2.85-2.87, 3 Pd 2.90-2.92

calculated total energy	-0.2530	Ry per atom
energy above the most stable polymorph in this dataset	0.0	meV per atom
N(E_F)	2.80	states/eV per cell